VASP calculation (PBE) on an optimized crystal structure of Pa2AlCo12B3.

abc: 6.5575 6.5575 6.5575
angles: 64.63 64.63 64.63
Last column: nearest neighbours and their distance in Å.
Fractional coordinates of all 18 atoms:
Pa  0.4008  0.4008  0.4008  6 Co 2.38-2.62
Pa  0.5992  0.5992  0.5992  6 Co 2.38-2.62
B  0.5000  0.0000  0.0000  6 Co 1.93-1.97
B  0.0000  0.5000  0.0000  6 Co 1.93-1.97
B  0.0000  0.0000  0.5000  6 Co 1.93-1.97
Co  0.8638  0.2696  0.2696  2 B 1.93
Co  0.4313  0.8461  0.8461  1 B 1.97
Co  0.8461  0.8461  0.4313  1 B 1.97
Co  0.1362  0.7304  0.7304  2 B 1.93
Co  0.7304  0.1362  0.7304  2 B 1.93
Co  0.2696  0.8638  0.2696  2 B 1.93
Co  0.2696  0.2696  0.8638  2 B 1.93
Co  0.1539  0.1539  0.5687  1 B 1.97
Co  0.8461  0.4313  0.8461  1 B 1.97
Co  0.5687  0.1539  0.1539  1 B 1.97
Co  0.7304  0.7304  0.1362  2 B 1.93
Co  0.1539  0.5687  0.1539  1 B 1.97
Al  0.0000  0.0000  0.0000  12 Co 2.45-2.65

## Properties
Total DFT energy (no corrections) = -7.150 eV per atom


VASP calculation (PBE) on an optimized crystal structure of Li3Sn2Hg2.

abc: 4.1416 3.1639 11.5738
angles: 90.00 79.69 90.00
Last column: nearest neighbours and their distance in Å.
Fractional coordinates of all 7 atoms:
Hg  0.7045  0.5000  0.5909  4 Hg 2.93-3.16, 4 Li 2.97, 1 Sn 3.07
Hg  0.2955  0.5000  0.4091  4 Hg 2.93-3.16, 4 Li 2.97, 1 Sn 3.07
Li  0.0000  0.0000  0.0000  8 Sn 3.05, 4 Li 3.16-3.22
Li  0.1416  0.0000  0.7169  4 Hg 2.97, 4 Sn 3.08, 3 Li 3.16-3.22
Li  0.8584  0.0000  0.2831  4 Hg 2.97, 4 Sn 3.08, 3 Li 3.16-3.22
Sn  0.5698  0.5000  0.8604  8 Li 3.05-3.08, 1 Hg 3.07, 3 Sn 3.16-3.18
Sn  0.4302  0.5000  0.1396  8 Li 3.05-3.08, 1 Hg 3.07, 3 Sn 3.16-3.18

## Properties
Total DFT energy (no corrections) = -2.327 eV per atom


VASP calculation (PBE) on an optimized crystal structure of Cs2LiSb2.

abc: 5.3567 5.3567 8.9272
angles: 72.54 72.54 90.00
Last column: nearest neighbours and their distance in Å.
Fractional coordinates of all 5 atoms:
Cs  0.7500  0.2500  0.5000  4 Sb 3.78, 4 Cs 3.79
Cs  0.2500  0.7500  0.5000  4 Sb 3.78, 4 Cs 3.79
Sb  0.5848  0.5848  0.8304  1 Sb 2.74
Sb  0.4152  0.4152  0.1696  1 Sb 2.74
Li  0.0000  0.0000  0.0000  8 Sb 4.03

## Properties
ΔE to the lowest computed polymorph = 0.399 eV per atom
Uncorrected formation energy = 0.05 eV per atom


VASP calculation (PBE) on an optimized crystal structure of MnBi2Pd6.

abc: 6.1503 5.6726 5.6726
angles: 58.53 80.76 80.76
Last column: nearest neighbours and their distance in Å.
Fractional coordinates of all 9 atoms:
Pd  0.7067  0.6616  0.1762  1 Mn 2.54, 4 Pd 2.69-2.83
Pd  0.6293  0.1804  0.1804  1 Mn 2.62, 6 Pd 2.83-2.92
Pd  0.2933  0.3384  0.8238  1 Mn 2.54, 4 Pd 2.69-2.83
Pd  0.2933  0.8238  0.3384  1 Mn 2.54, 4 Pd 2.69-2.83
Pd  0.3707  0.8196  0.8196  1 Mn 2.62, 6 Pd 2.83-2.92
Pd  0.7067  0.1762  0.6616  1 Mn 2.54, 4 Pd 2.69-2.83
Mn  0.0000  0.0000  0.0000  6 Pd 2.54-2.62
Bi  0.1683  0.3358  0.3358  9 Pd 2.87-3.11
Bi  0.8317  0.6642  0.6642  9 Pd 2.87-3.11

## Properties
Total DFT energy (no corrections) = -5.476 eV per atom


VASP calculation (PBE) on an optimized crystal structure of Ca3Be2Si4.

abc: 3.9466 5.8638 8.0498
angles: 95.03 90.00 109.67
Last column: nearest neighbours and their distance in Å.
Fractional coordinates of all 9 atoms:
Si  0.9402  0.8803  0.6174  2 Be 2.22, 1 Si 2.41
Si  0.0598  0.1197  0.3826  2 Be 2.22, 1 Si 2.41
Si  0.7170  0.4339  0.0651  1 Be 2.20, 2 Si 2.38
Si  0.2830  0.5661  0.9349  1 Be 2.20, 2 Si 2.38
Be  0.3903  0.7805  0.7175  3 Si 2.20-2.22
Be  0.6097  0.2195  0.2825  3 Si 2.20-2.22
Ca  0.6617  0.3235  0.6642  4 Be 3.07-3.20, 8 Si 3.13-3.23
Ca  0.3383  0.6765  0.3358  4 Be 3.07-3.20, 8 Si 3.13-3.23
Ca  0.0000  0.0000  0.0000  8 Si 3.09-3.22, 4 Be 3.17

## Properties
Uncorrected formation energy = -0.42 eV per atom


VASP calculation (PBE) on an optimized crystal structure of CaAuCl2.

abc: 3.8347 3.8347 6.8704
angles: 90.00 90.00 90.00
Last column: nearest neighbours and their distance in Å.
Fractional coordinates of all 4 atoms:
Cl  0.5000  0.5000  0.3476  1 Ca 2.68, 4 Au 2.88
Cl  0.0000  0.0000  0.9287  4 Ca 3.01, 1 Au 3.04
Au  0.0000  0.0000  0.4867  5 Cl 2.88-3.04, 4 Ca 3.21
Ca  0.5000  0.5000  0.7370  1 Cl 2.68

## Properties
ΔE to the lowest computed polymorph = 0.178 eV per atom
Uncorrected formation energy = -1.05 eV per atom